1.
Compound: ThBrCl
Source: Alexandria
Functional: PBE-GGA
Structure: relaxed

The calculation puts the calculated total energy at -5.260 eV/atom. As for the space-group type: P3m1, No. 156. The formation energy (no corrections) comes out at -4.84 eV/f.u.

a = 3.668 Å, b = 3.668 Å, c = 8.174 Å
α = 90.00°, β = 90.00°, γ = 120.00°
Element x y z (fractional)
1 Th 0.000 0.000 0.000
2 Br 0.333 0.667 0.736
3 Cl 0.667 0.333 0.243

=====

2.
Compound: ThBrCl
Source: Alexandria
Functional: PBE-GGA
Structure: relaxed

The calculation puts the calculated total energy at -5.054 eV/atom. As for the space-group type: P2_1/m, No. 11. The formation energy (no corrections) comes out at -4.22 eV/f.u.

a = 5.059 Å, b = 5.060 Å, c = 7.592 Å
α = 90.00°, β = 109.36°, γ = 90.00°
Element x y z (fractional)
1 Th 0.250 0.250 0.000
2 Th 0.750 0.750 0.000
3 Br 0.123 0.750 0.744
4 Br 0.877 0.250 0.256
5 Cl 0.362 0.750 0.224
6 Cl 0.638 0.250 0.776

=====

3.
Compound: ThTl2Br2Cl4
Source: Alexandria
Functional: PBE-GGA
Structure: relaxed

The calculation puts the calculated total energy at -4.122 eV/atom. As for the space-group type: C2/m, No. 12. The formation energy (no corrections) comes out at -14.22 eV/f.u.

a = 7.807 Å, b = 7.807 Å, c = 7.770 Å
α = 111.93°, β = 111.93°, γ = 57.26°
Element x y z (fractional)
1 Th 0.000 0.000 0.000
2 Tl 0.258 0.258 0.788
3 Tl 0.742 0.742 0.212
4 Br 0.204 0.204 0.325
5 Br 0.796 0.796 0.675
6 Cl 0.169 0.671 0.155
7 Cl 0.329 0.831 0.845
8 Cl 0.671 0.169 0.155
9 Cl 0.831 0.329 0.845

=====

4.
Compound: ThTl2Br4Cl2
Source: Alexandria
Functional: PBE-GGA
Structure: relaxed

The calculation puts the calculated total energy at -3.979 eV/atom. As for the space-group type: C2/m, No. 12. The formation energy (no corrections) comes out at -13.28 eV/f.u.

a = 7.980 Å, b = 7.980 Å, c = 7.453 Å
α = 111.58°, β = 111.58°, γ = 60.32°
Element x y z (fractional)
1 Th 0.000 0.000 0.000
2 Tl 0.265 0.265 0.793
3 Tl 0.735 0.735 0.207
4 Br 0.170 0.671 0.178
5 Br 0.329 0.830 0.822
6 Br 0.671 0.170 0.178
7 Br 0.830 0.329 0.822
8 Cl 0.190 0.190 0.314
9 Cl 0.810 0.810 0.686

=====

5.
Compound: ThZr2Br2Cl4
Source: Alexandria
Functional: PBE-GGA
Structure: relaxed

The calculation puts the calculated total energy at -5.440 eV/atom. As for the space-group type: P3m1, No. 156. The formation energy (no corrections) comes out at -13.71 eV/f.u.

a = 3.540 Å, b = 3.540 Å, c = 23.176 Å
α = 90.00°, β = 90.00°, γ = 120.00°
Element x y z (fractional)
1 Th 0.000 0.000 0.000
2 Zr 0.000 0.000 0.647
3 Zr 0.667 0.333 0.338
4 Br 0.667 0.333 0.096
5 Br 0.667 0.333 0.904
6 Cl 0.000 0.000 0.266
7 Cl 0.000 0.000 0.410
8 Cl 0.667 0.333 0.575
9 Cl 0.667 0.333 0.719

=====

6.
Compound: Ti2BrCl8
Source: Alexandria
Functional: PBE-GGA
Structure: relaxed

The calculation puts the calculated total energy at -4.253 eV/atom. As for the space-group type: C2/m, No. 12. The formation energy (no corrections) comes out at -14.54 eV/f.u.

a = 7.316 Å, b = 7.316 Å, c = 9.501 Å
α = 92.00°, β = 92.00°, γ = 93.47°
Element x y z (fractional)
1 Ti 0.223 0.223 0.173
2 Ti 0.777 0.777 0.827
3 Br 0.000 0.000 0.500
4 Cl 0.067 0.731 0.798
5 Cl 0.269 0.933 0.202
6 Cl 0.291 0.291 0.958
7 Cl 0.396 0.396 0.321
8 Cl 0.604 0.604 0.679
9 Cl 0.709 0.709 0.042
10 Cl 0.731 0.067 0.798
11 Cl 0.933 0.269 0.202

=====

7.
Compound: TiBrCl2
Source: Alexandria
Functional: PBE-GGA
Structure: relaxed

The value obtained for the polymorph energy (0 for the lowest one) is 0.4220 eV/atom. The calculation puts the calculated total energy at -4.280 eV/atom. As for the space-group type: R-3m, No. 166. The formation energy (no corrections) comes out at -3.86 eV/f.u.

a = 10.579 Å, b = 10.579 Å, c = 10.579 Å
α = 17.65°, β = 17.65°, γ = 17.65°
Element x y z (fractional)
1 Ti 0.000 0.000 0.000
2 Br 0.500 0.500 0.500
3 Cl 0.384 0.384 0.384
4 Cl 0.616 0.616 0.616

=====

8.
Compound: Ti3BrCl3
Source: Alexandria
Functional: PBE-GGA
Structure: relaxed

The calculation puts the calculated total energy at -5.276 eV/atom. As for the space-group type: P6_3/m, No. 176. The formation energy (no corrections) comes out at -6.04 eV/f.u.

a = 8.275 Å, b = 8.275 Å, c = 5.224 Å
α = 90.00°, β = 90.00°, γ = 120.00°
Element x y z (fractional)
1 Ti 0.092 0.863 0.250
2 Ti 0.137 0.229 0.250
3 Ti 0.229 0.092 0.750
4 Ti 0.771 0.908 0.250
5 Ti 0.863 0.771 0.750
6 Ti 0.908 0.137 0.750
7 Br 0.333 0.667 0.250
8 Br 0.667 0.333 0.750
9 Cl 0.153 0.767 0.750
10 Cl 0.233 0.386 0.750
11 Cl 0.386 0.153 0.250
12 Cl 0.614 0.847 0.750
13 Cl 0.767 0.614 0.250
14 Cl 0.847 0.233 0.250

=====

9.
Compound: TiBr3Cl
Source: Alexandria
Functional: PBE-GGA
Structure: relaxed

The value obtained for the polymorph energy (0 for the lowest one) is 1.8800 eV/atom. The calculation puts the calculated total energy at -2.245 eV/atom. As for the space-group type: Pm-3m, No. 221. The formation energy (no corrections) comes out at 3.53 eV/f.u.

a = 5.350 Å, b = 5.350 Å, c = 5.350 Å
α = 90.00°, β = 90.00°, γ = 90.00°
Element x y z (fractional)
1 Ti 0.000 0.000 0.000
2 Br 0.000 0.500 0.500
3 Br 0.500 0.000 0.500
4 Br 0.500 0.500 0.000
5 Cl 0.500 0.500 0.500

=====

10.
Compound: Ti2BrCl
Source: Alexandria
Functional: PBE-GGA
Structure: relaxed

The value obtained for the polymorph energy (0 for the lowest one) is 0.0000 eV/atom. The calculation puts the calculated total energy at -5.098 eV/atom. As for the space-group type: I-42d, No. 122. The formation energy (no corrections) comes out at -1.08 eV/f.u.

a = 8.678 Å, b = 8.678 Å, c = 8.678 Å
α = 150.32°, β = 150.32°, γ = 42.47°
Element x y z (fractional)
1 Ti 0.105 0.625 0.980
2 Ti 0.375 0.355 0.480
3 Ti 0.645 0.125 0.020
4 Ti 0.875 0.895 0.520
5 Br 0.250 0.750 0.500
6 Br 0.500 0.500 0.000
7 Cl 0.000 0.000 0.000
8 Cl 0.750 0.250 0.500

=====

11.
Compound: Ti2Br2Cl
Source: Alexandria
Functional: PBE-GGA
Structure: relaxed

The calculation puts the calculated total energy at -5.184 eV/atom. As for the space-group type: C2/m, No. 12. The formation energy (no corrections) comes out at -4.94 eV/f.u.

a = 10.742 Å, b = 10.742 Å, c = 8.821 Å
α = 112.07°, β = 112.07°, γ = 17.49°
Element x y z (fractional)
1 Ti 0.178 0.178 0.137
2 Ti 0.304 0.304 0.126
3 Ti 0.696 0.696 0.874
4 Ti 0.822 0.822 0.863
5 Br 0.095 0.095 0.829
6 Br 0.400 0.400 0.786
7 Br 0.600 0.600 0.214
8 Br 0.905 0.905 0.171
9 Cl 0.227 0.227 0.681
10 Cl 0.773 0.773 0.319

=====

12.
Compound: TiBr2Cl
Source: Alexandria
Functional: PBE-GGA
Structure: relaxed

The value obtained for the polymorph energy (0 for the lowest one) is 0.5924 eV/atom. The calculation puts the calculated total energy at -3.934 eV/atom. As for the space-group type: R-3m, No. 166. The formation energy (no corrections) comes out at -2.65 eV/f.u.

a = 9.756 Å, b = 9.756 Å, c = 9.756 Å
α = 21.23°, β = 21.23°, γ = 21.23°
Element x y z (fractional)
1 Ti 0.000 0.000 0.000
2 Br 0.390 0.390 0.390
3 Br 0.610 0.610 0.610
4 Cl 0.500 0.500 0.500

=====

13.
Compound: Ti2BrCl
Source: Alexandria
Functional: PBE-GGA
Structure: relaxed

The value obtained for the polymorph energy (0 for the lowest one) is 0.1583 eV/atom. The calculation puts the calculated total energy at -4.940 eV/atom. As for the space-group type: Fm-3m, No. 225. The formation energy (no corrections) comes out at -0.45 eV/f.u.

a = 4.527 Å, b = 4.527 Å, c = 4.527 Å
α = 60.00°, β = 60.00°, γ = 60.00°
Element x y z (fractional)
1 Ti 0.250 0.250 0.250
2 Ti 0.750 0.750 0.750
3 Br 0.000 0.000 0.000
4 Cl 0.500 0.500 0.500